(1)
{"formula": "LiTcCl2", "functional": "GGA-PBEsol", "state": "relaxed", "e_form_raw_mev_per_atom": -292, "spacegroup": "Pmm2", "vol_a3_per_cell": 59.1, "relative_energy_ev_per_fu": 0.32, "lattice": [[3.088, 0.000, 0.000], [0.000, 3.723, 0.000], [0.000, 0.000, 5.139]], "species": ["Li", "Tc", "Cl", "Cl"], "fractional_positions": [[0.000, 0.000, 0.000], [0.500, 0.500, 0.394], [0.000, 0.000, 0.478], [0.500, 0.500, 0.898]]}

(2)
{"formula": "LiTeCl", "functional": "GGA-PBEsol", "state": "relaxed", "e_form_raw_mev_per_atom": -76, "spacegroup": "F-43m", "vol_a3_per_cell": 88.5, "relative_energy_ev_per_fu": 0.65, "lattice": [[0.000, 3.537, 3.537], [3.537, 0.000, 3.537], [3.537, 3.537, 0.000]], "species": ["Li", "Te", "Cl"], "fractional_positions": [[0.000, 0.000, 0.000], [0.250, 0.250, 0.250], [0.500, 0.500, 0.500]]}

(3)
{"formula": "LiTeCl", "functional": "GGA-PBEsol", "state": "relaxed", "e_form_raw_mev_per_atom": -293, "spacegroup": "F-43m", "vol_a3_per_cell": 70.8, "relative_energy_ev_per_fu": 0.00, "lattice": [[0.000, 3.283, 3.283], [3.283, 0.000, 3.283], [3.283, 3.283, 0.000]], "species": ["Li", "Te", "Cl"], "fractional_positions": [[0.000, 0.000, 0.000], [0.250, 0.250, 0.250], [0.750, 0.750, 0.750]]}

(4)
{"formula": "LiTlCl2", "functional": "GGA-PBEsol", "state": "relaxed", "e_form_raw_mev_per_atom": -1320, "spacegroup": "R3m", "vol_a3_per_cell": 90.7, "relative_energy_ev_per_fu": 0.05, "lattice": [[1.911, 1.103, 7.170], [-1.911, 1.103, 7.170], [0.000, -2.206, 7.170]], "species": ["Li", "Tl", "Cl", "Cl"], "fractional_positions": [[0.000, 0.000, 0.000], [0.832, 0.832, 0.832], [0.397, 0.397, 0.397], [0.602, 0.602, 0.602]]}

(5)
{"formula": "Li3TlCl", "functional": "GGA-PBEsol", "state": "relaxed", "e_form_raw_mev_per_atom": -665, "spacegroup": "Pm-3m", "vol_a3_per_cell": 99.5, "relative_energy_ev_per_fu": 0.00, "lattice": [[4.634, 0.000, 0.000], [0.000, 4.634, 0.000], [0.000, 0.000, 4.634]], "species": ["Li", "Li", "Li", "Tl", "Cl"], "fractional_positions": [[0.000, 0.000, 0.500], [0.000, 0.500, 0.000], [0.500, 0.000, 0.000], [0.500, 0.500, 0.500], [0.000, 0.000, 0.000]]}

(6)
{"formula": "LiTlCl2", "functional": "GGA-PBEsol", "state": "relaxed", "e_form_raw_mev_per_atom": -1325, "spacegroup": "R-3m", "vol_a3_per_cell": 91.6, "relative_energy_ev_per_fu": 0.03, "lattice": [[1.932, 1.115, 7.086], [-1.932, 1.115, 7.086], [0.000, -2.230, 7.086]], "species": ["Li", "Tl", "Cl", "Cl"], "fractional_positions": [[0.000, 0.000, 0.000], [0.500, 0.500, 0.500], [0.269, 0.269, 0.269], [0.731, 0.731, 0.731]]}

(7)
{"formula": "Li2TlCl", "functional": "GGA-PBEsol", "state": "relaxed", "e_form_raw_mev_per_atom": -732, "spacegroup": "Immm", "vol_a3_per_cell": 88.0, "lattice": [[-1.627, 3.117, 4.340], [1.627, -3.117, 4.340], [1.627, 3.117, -4.340]], "species": ["Li", "Li", "Tl", "Cl"], "fractional_positions": [[0.197, 0.197, 0.000], [0.803, 0.803, 0.000], [0.500, 0.000, 0.500], [0.000, 0.500, 0.500]]}

(8)
{"formula": "LiTlCl2", "functional": "GGA-PBEsol", "state": "relaxed", "e_form_raw_mev_per_atom": -1296, "spacegroup": "P2/m", "vol_a3_per_cell": 97.0, "relative_energy_ev_per_fu": 0.15, "lattice": [[3.943, 0.000, 0.000], [0.000, 3.514, 0.000], [-1.030, 0.000, 7.000]], "species": ["Li", "Tl", "Cl", "Cl"], "fractional_positions": [[0.000, 0.000, 0.000], [0.500, 0.000, 0.500], [0.076, 0.500, 0.771], [0.924, 0.500, 0.229]]}

(9)
{"formula": "LiTlCl2", "functional": "GGA-PBEsol", "state": "relaxed", "e_form_raw_mev_per_atom": -1286, "spacegroup": "Cm", "vol_a3_per_cell": 109.9, "relative_energy_ev_per_fu": 0.19, "lattice": [[6.028, -1.967, 0.000], [6.028, 1.967, 0.000], [-0.084, 0.000, 4.633]], "species": ["Li", "Tl", "Cl", "Cl"], "fractional_positions": [[0.000, 0.000, 0.000], [0.273, 0.273, 0.313], [0.544, 0.544, 0.240], [0.826, 0.826, 0.807]]}

(10)
{"formula": "LiTlCl2", "functional": "GGA-PBEsol", "state": "relaxed", "e_form_raw_mev_per_atom": -1324, "spacegroup": "Pm", "vol_a3_per_cell": 103.3, "relative_energy_ev_per_fu": 0.04, "lattice": [[3.911, 0.000, 0.000], [0.000, 4.194, 0.000], [-1.949, 0.000, 6.300]], "species": ["Li", "Tl", "Cl", "Cl"], "fractional_positions": [[0.000, 0.000, 0.000], [0.229, 0.500, 0.455], [0.615, 0.000, 0.231], [0.915, 0.500, 0.829]]}

(11)
{"formula": "Li3TlCl", "functional": "GGA-PBEsol", "state": "relaxed", "e_form_raw_mev_per_atom": -41, "spacegroup": "Pm-3m", "vol_a3_per_cell": 148.5, "relative_energy_ev_per_fu": 3.12, "lattice": [[5.295, 0.000, 0.000], [0.000, 5.295, 0.000], [0.000, 0.000, 5.295]], "species": ["Li", "Li", "Li", "Tl", "Cl"], "fractional_positions": [[0.000, 0.000, 0.500], [0.000, 0.500, 0.000], [0.500, 0.000, 0.000], [0.000, 0.000, 0.000], [0.500, 0.500, 0.500]]}

(12)
{"formula": "LiTlCl2", "functional": "GGA-PBEsol", "state": "relaxed", "e_form_raw_mev_per_atom": -1332, "spacegroup": "I-42d", "vol_a3_per_cell": 196.9, "relative_energy_ev_per_fu": 0.00, "lattice": [[-3.557, 3.557, 3.890], [3.557, -3.557, 3.890], [3.557, 3.557, -3.890]], "species": ["Li", "Li", "Tl", "Tl", "Cl", "Cl", "Cl", "Cl"], "fractional_positions": [[0.000, 0.000, 0.000], [0.750, 0.250, 0.500], [0.250, 0.750, 0.500], [0.500, 0.500, 0.000], [0.042, 0.625, 0.917], [0.375, 0.292, 0.417], [0.708, 0.125, 0.083], [0.875, 0.958, 0.583]]}

The records above yield DFT total energy values of -4.604; -2.576; -2.793; -3.474; -2.772; -3.478; -2.875; -3.449; -3.439; -3.477; -2.149; -3.486 eV per atom, respectively.